Entry from Alexandria via LeMat-Bulk: an optimized crystal structure of BaIn2ReO8 (PBE-GGA).

Geometry as POSCAR:
```
BaIn2ReO8
1.0
4.722 0.000 0.000
0.000 7.168 0.000
-0.013 0.000 5.030
Ba In Re O
1 2 1 8
direct
0.000 0.000 0.000
0.500 0.266 0.500
0.500 0.734 0.500
0.000 0.500 0.000
0.222 0.314 0.842
0.222 0.686 0.842
0.256 0.500 0.308
0.257 0.000 0.471
0.743 0.000 0.529
0.744 0.500 0.692
0.778 0.314 0.158
0.778 0.686 0.158
```

Values from the calculation:
symmetry	P2/m
formation energy (no corrections)	-1557.7	meV/atom

***

Entry from Alexandria via LeMat-Bulk: an optimized crystal structure of BaInReO6 (PBE-GGA).

Geometry as POSCAR:
```
BaInReO6
1.0
5.547 0.000 0.000
-2.773 4.804 0.000
0.000 0.000 5.613
Ba In Re O
1 1 1 6
direct
0.000 0.000 0.000
0.333 0.667 0.500
0.667 0.333 0.500
0.408 0.036 0.698
0.408 0.372 0.302
0.628 0.036 0.302
0.628 0.592 0.698
0.964 0.372 0.698
0.964 0.592 0.302
```

Values from the calculation:
symmetry	P312
formation energy (no corrections)	-1894.4	meV/atom

***

Entry from Alexandria via LeMat-Bulk: an optimized crystal structure of BaInRhO6 (PBE-GGA).

Geometry as POSCAR:
```
BaInRhO6
1.0
5.532 0.000 0.000
-2.766 4.791 0.000
0.000 0.000 5.644
Ba In Rh O
1 1 1 6
direct
0.000 0.000 0.000
0.333 0.667 0.500
0.667 0.333 0.500
0.399 0.032 0.699
0.399 0.368 0.301
0.632 0.032 0.301
0.632 0.601 0.699
0.968 0.368 0.699
0.968 0.601 0.301
```

Values from the calculation:
symmetry	P312
formation energy (no corrections)	-1146.4	meV/atom

***

Entry from Alexandria via LeMat-Bulk: an optimized crystal structure of BaInS2O8 (PBE-GGA).

Geometry as POSCAR:
```
BaInS2O8
1.0
2.575 1.487 7.757
-2.575 1.487 7.757
0.000 -2.974 7.757
Ba In S O
1 1 2 8
direct
0.000 0.000 0.000
0.500 0.500 0.500
0.251 0.251 0.251
0.749 0.749 0.749
0.034 0.484 0.789
0.211 0.966 0.516
0.315 0.315 0.315
0.484 0.789 0.034
0.516 0.211 0.966
0.685 0.685 0.685
0.789 0.034 0.484
0.966 0.516 0.211
```

Values from the calculation:
symmetry	R-3
formation energy (no corrections)	-1712.4	meV/atom

***

no.,uncorrected energy (eV/atom)
1,-6.517
2,-7.101
3,-5.787
4,-6.094